MgSc4Ga2Cu | PBE-GGA | optimized geometry

## Properties
Total energy in eV per cell: -121.35
DOS(E_F) in states/eV/atom: 0.73
V in Å³/cell: 463

Cell: 4.7771 4.7771 23.4202 Å, 90.00 90.00 120.00°
Space group R-3m (No. 166, hexagonal axes)
Symmetry-distinct sites (fractional):
Mg (0.0000, 0.0000, 0.0000) (multiplicity 3)
Sc (0.0000, 0.0000, 0.1314) (multiplicity 6)
Sc (0.0000, 0.0000, 0.3830) (multiplicity 6)
Ga (0.0000, 0.0000, 0.2562) (multiplicity 6)
Cu (0.0000, 0.0000, 0.5000) (multiplicity 3)

=====

YPuAl4 | PBE-GGA | optimized geometry

## Properties
Total energy in eV per cell: -152.56
DOS(E_F) in states/eV/atom: 2.53
V in Å³/cell: 486

Cell: 7.860 7.860 7.860 Å, 90.00 90.00 90.00°
Space group F-43m (No. 216)
Symmetry-distinct sites (fractional):
Y (0.000, 0.000, 0.000) (multiplicity 4)
Pu (0.250, 0.250, 0.750) (multiplicity 4)
Al (0.124, 0.124, 0.376) (multiplicity 16)

=====

AlC3N3Cl6 | PBE-GGA | optimized geometry

## Properties
Total energy in eV per cell: -293.18
DOS(E_F) in states/eV/atom: 0.00
V in Å³/cell: 1258

Cell: 7.641 10.239 16.728 Å, 74.15 89.90 88.20°
Space group P-1 (No. 2)
Symmetry-distinct sites (fractional):
Al (0.048, 0.172, 0.354) (multiplicity 2)
Al (0.448, 0.820, 0.916) (multiplicity 2)
C (0.002, 0.713, 0.496) (multiplicity 2)
C (0.242, 0.305, 0.832) (multiplicity 2)
C (0.245, 0.290, 0.968) (multiplicity 2)
C (0.258, 0.713, 0.566) (multiplicity 2)
C (0.260, 0.691, 0.436) (multiplicity 2)
C (0.500, 0.291, 0.897) (multiplicity 2)
N (0.081, 0.741, 0.563) (multiplicity 2)
N (0.085, 0.690, 0.432) (multiplicity 2)
N (0.150, 0.308, 0.900) (multiplicity 2)
N (0.351, 0.690, 0.504) (multiplicity 2)
N (0.416, 0.309, 0.826) (multiplicity 2)
N (0.422, 0.264, 0.973) (multiplicity 2)
Cl (0.126, 0.349, 0.264) (multiplicity 2)
Cl (0.127, 0.302, 0.746) (multiplicity 2)
Cl (0.128, 0.957, 0.683) (multiplicity 2)
Cl (0.141, 0.307, 0.054) (multiplicity 2)
Cl (0.218, 0.301, 0.502) (multiplicity 2)
Cl (0.241, 0.949, 0.941) (multiplicity 2)
Cl (0.256, 0.044, 0.422) (multiplicity 2)
Cl (0.281, 0.691, 0.107) (multiplicity 2)
Cl (0.363, 0.698, 0.657) (multiplicity 2)
Cl (0.367, 0.645, 0.883) (multiplicity 2)
Cl (0.373, 0.687, 0.350) (multiplicity 2)
Cl (0.379, 0.051, 0.167) (multiplicity 2)

=====

Be2Pt | PBE-GGA | optimized geometry

## Properties
Total energy in eV per cell: -60.56
DOS(E_F) in states/eV/atom: 0.34
Excess energy over the best structure of this formula in the dataset in eV per atom: 0.099
V in Å³/cell: 129

Cell: 7.752 3.659 4.779 Å, 90.00 108.43 90.00°
Space group C2/m (No. 12)
Symmetry-distinct sites (fractional):
Be (0.000, 0.000, 0.000) (multiplicity 2)
Be (0.000, 0.000, 0.500) (multiplicity 2)
Be (0.182, 0.500, 0.320) (multiplicity 4)
Pt (0.138, 0.500, 0.793) (multiplicity 4)

=====

Sr2Si3 | PBE-GGA | optimized geometry

## Properties
Total energy in eV per cell: -20.13
DOS(E_F) in states/eV/atom: 0.76
Excess energy over the best structure of this formula in the dataset in eV per atom: 0.301
V in Å³/cell: 143

Cell: 4.3086 4.3086 8.8666 Å, 90.00 90.00 120.00°
Space group P-3m1 (No. 164)
Symmetry-distinct sites (fractional):
Sr (0.3333, 0.6667, 0.2097) (multiplicity 2)
Si (0.0000, 0.0000, 0.5000) (multiplicity 1)
Si (0.3333, 0.6667, 0.5655) (multiplicity 2)

=====

LiBeNi14 | PBE-GGA | optimized geometry

## Properties
Total energy in eV per cell: -174.11
DOS(E_F) in states/eV/atom: 1.32
V in Å³/cell: 342

Cell: 8.066 4.967 8.537 Å, 90.00 90.00 90.00°
Space group Amm2 (No. 38)
Symmetry-distinct sites (fractional):
Li (0.000, 0.000, 0.000) (multiplicity 2)
Be (0.000, 0.000, 0.503) (multiplicity 2)
Ni (0.000, 0.248, 0.750) (multiplicity 4)
Ni (0.242, 0.000, 0.335) (multiplicity 4)
Ni (0.246, 0.247, 0.583) (multiplicity 8)
Ni (0.250, 0.000, 0.833) (multiplicity 4)
Ni (0.500, 0.000, 0.167) (multiplicity 2)
Ni (0.500, 0.000, 0.666) (multiplicity 2)
Ni (0.500, 0.249, 0.416) (multiplicity 4)

=====

SmAl4Sn | PBE-GGA | optimized geometry

## Properties
Total energy in eV per cell: -99.75
DOS(E_F) in states/eV/atom: 0.65
V in Å³/cell: 498

Cell: 7.927 7.927 7.927 Å, 90.00 90.00 90.00°
Space group F-43m (No. 216)
Symmetry-distinct sites (fractional):
Sm (0.000, 0.000, 0.000) (multiplicity 4)
Al (0.125, 0.125, 0.375) (multiplicity 16)
Sn (0.250, 0.250, 0.750) (multiplicity 4)

=====

Mg2SiAg | PBE-GGA | optimized geometry

## Properties
Total energy in eV per cell: -33.67
DOS(E_F) in states/eV/atom: 0.60
V in Å³/cell: 221

Cell: 3.0654 3.0654 27.2010 Å, 90.00 90.00 120.00°
Space group R-3m (No. 166, hexagonal axes)
Symmetry-distinct sites (fractional):
Mg (0.0000, 0.0000, 0.2504) (multiplicity 6)
Si (0.0000, 0.0000, 0.0000) (multiplicity 3)
Ag (0.0000, 0.0000, 0.5000) (multiplicity 3)

=====

LiTc2Sb2 | PBE-GGA | optimized geometry

## Properties
Total energy in eV per cell: -61.37
DOS(E_F) in states/eV/atom: 0.53
Excess energy over the best structure of this formula in the dataset in eV per atom: 0.000
V in Å³/cell: 183

Cell: 7.542 7.542 3.215 Å, 90.00 90.00 90.00°
Space group P4/mbm (No. 127)
Symmetry-distinct sites (fractional):
Li (0.000, 0.000, 0.000) (multiplicity 2)
Tc (0.139, 0.361, 0.000) (multiplicity 4)
Sb (0.158, 0.658, 0.500) (multiplicity 4)

=====

HfGaP2Pd | PBE-GGA | optimized geometry

## Properties
Total energy in eV per cell: -26.87
DOS(E_F) in states/eV/atom: 1.33
V in Å³/cell: 126

Cell: 4.939 4.939 5.155 Å, 90.00 90.00 90.00°
Space group P4/mmm (No. 123)
Symmetry-distinct sites (fractional):
Hf (0.000, 0.000, 0.000) (multiplicity 1)
Ga (0.500, 0.500, 0.500) (multiplicity 1)
P (0.000, 0.500, 0.000) (multiplicity 2)
Pd (0.000, 0.000, 0.500) (multiplicity 1)

=====

Repeat the fifth record exactly.
Sr2Si3 | PBE-GGA | optimized geometry

## Properties
Total energy in eV per cell: -20.13
DOS(E_F) in states/eV/atom: 0.76
Excess energy over the best structure of this formula in the dataset in eV per atom: 0.301
V in Å³/cell: 143

Cell: 4.3086 4.3086 8.8666 Å, 90.00 90.00 120.00°
Space group P-3m1 (No. 164)
Symmetry-distinct sites (fractional):
Sr (0.3333, 0.6667, 0.2097) (multiplicity 2)
Si (0.0000, 0.0000, 0.5000) (multiplicity 1)
Si (0.3333, 0.6667, 0.5655) (multiplicity 2)

=====

What did the fourth record say?
Be2Pt | PBE-GGA | optimized geometry

## Properties
Total energy in eV per cell: -60.56
DOS(E_F) in states/eV/atom: 0.34
Excess energy over the best structure of this formula in the dataset in eV per atom: 0.099
V in Å³/cell: 129

Cell: 7.752 3.659 4.779 Å, 90.00 108.43 90.00°
Space group C2/m (No. 12)
Symmetry-distinct sites (fractional):
Be (0.000, 0.000, 0.000) (multiplicity 2)
Be (0.000, 0.000, 0.500) (multiplicity 2)
Be (0.182, 0.500, 0.320) (multiplicity 4)
Pt (0.138, 0.500, 0.793) (multiplicity 4)